1.
The following is a PBE-GGA calculation of an optimized crystal structure of YTe2RuS, from Alexandria via LeMat-Bulk.

Structure (POSCAR):
```
YTe2RuS
1.0
-1.937 -5.104 0.689
3.805 -1.606 -1.197
1.679 0.071 5.240
Y Ru S Te
1 1 1 2
Direct
0.500 0.500 0.500 Y
0.000 0.000 0.000 Ru
0.000 0.500 0.000 S
0.000 0.000 0.500 Te
0.500 0.000 0.000 Te
```

Output
* excess energy over the best structure of this formula in the dataset: 0 meV per atom

2.
The following is a PBE-GGA calculation of an optimized crystal structure of ZnTeRu2S, from Alexandria via LeMat-Bulk.

Structure (POSCAR):
```
ZnTeRu2S
1.0
4.443 0.000 0.000
0.000 4.645 0.000
0.000 0.000 4.443
Ru Zn Te S
2 1 1 1
Direct
0.000 0.000 0.500 Ru
0.500 0.000 0.000 Ru
0.000 0.500 0.000 Zn
0.500 0.500 0.500 Te
0.000 0.000 0.000 S
```

3.
The following is a PBE-GGA calculation of an optimized crystal structure of ThRuS, from Alexandria via LeMat-Bulk.

Structure (POSCAR):
```
ThRuS
1.0
4.480 0.000 0.000
2.240 3.880 0.000
2.240 1.293 8.749
Th Ru S
2 2 2
Direct
0.246 0.246 0.262 Th
0.754 0.754 0.738 Th
0.341 0.341 0.978 Ru
0.659 0.659 0.022 Ru
0.872 0.872 0.384 S
0.128 0.128 0.616 S
```

4.
The following is a PBE-GGA calculation of an optimized crystal structure of Th4RuS5, from Alexandria via LeMat-Bulk.

Structure (POSCAR):
```
Th4RuS5
1.0
-2.830 -2.256 -2.099
3.056 -6.327 2.681
-5.261 4.603 6.313
Th Ru S
4 1 5
Direct
0.305 0.805 0.610 Th
0.000 0.765 0.000 Th
0.695 0.195 0.390 Th
0.000 0.235 0.000 Th
0.500 0.000 0.000 Ru
0.829 0.580 0.658 S
0.829 0.079 0.658 S
0.171 0.921 0.342 S
0.500 0.500 0.000 S
0.171 0.420 0.342 S
```

5.
The following is a PBE-GGA calculation of an optimized crystal structure of TiRu3S, from Alexandria via LeMat-Bulk.

Structure (POSCAR):
```
TiRu3S
1.0
4.311 0.000 0.000
0.000 4.311 0.000
0.000 0.000 4.311
Ru S Ti
3 1 1
Direct
0.000 0.500 0.000 Ru
0.000 0.000 0.500 Ru
0.500 0.000 0.000 Ru
0.000 0.000 0.000 S
0.500 0.500 0.500 Ti
```

Output
* excess energy over the best structure of this formula in the dataset: 0 meV per atom

6.
The following is a PBE-GGA calculation of an optimized crystal structure of Ti2RuS, from Alexandria via LeMat-Bulk.

Structure (POSCAR):
```
Ti2RuS
1.0
-6.488 -1.179 -1.144
0.655 -6.131 2.602
-3.540 -2.658 3.236
Ru S Ti
2 2 4
Direct
0.000 0.000 0.000 Ru
0.750 0.250 0.500 Ru
0.500 0.500 0.000 S
0.250 0.750 0.500 S
0.607 0.125 0.250 Ti
0.143 0.625 0.250 Ti
0.375 0.393 0.750 Ti
0.875 0.857 0.750 Ti
```

7.
The following is a PBE-GGA calculation of an optimized crystal structure of Ti3RuS, from Alexandria via LeMat-Bulk.

Structure (POSCAR):
```
Ti3RuS
1.0
4.690 0.000 0.000
0.000 4.690 0.000
0.000 0.000 4.690
Ru S Ti
1 1 3
Direct
0.000 0.000 0.000 Ru
0.500 0.500 0.500 S
0.000 0.500 0.000 Ti
0.000 0.000 0.500 Ti
0.500 0.000 0.000 Ti
```

Output
* excess energy over the best structure of this formula in the dataset: 591 meV per atom

8.
The following is a PBE-GGA calculation of an optimized crystal structure of TiRu3S, from Alexandria via LeMat-Bulk.

Structure (POSCAR):
```
TiRu3S
1.0
4.578 0.000 0.000
0.000 4.578 0.000
0.000 0.000 4.578
Ru S Ti
3 1 1
Direct
0.000 0.500 0.000 Ru
0.000 0.000 0.500 Ru
0.500 0.000 0.000 Ru
0.500 0.500 0.500 S
0.000 0.000 0.000 Ti
```

Output
* excess energy over the best structure of this formula in the dataset: 1260 meV per atom

9.
The following is a PBE-GGA calculation of an optimized crystal structure of Ti3RuS, from Alexandria via LeMat-Bulk.

Structure (POSCAR):
```
Ti3RuS
1.0
-3.081 -2.717 -1.581
2.909 -3.304 0.009
-1.192 -1.039 4.108
Ru S Ti
1 1 3
Direct
0.500 0.500 0.500 Ru
0.000 0.000 0.000 S
0.000 0.500 0.000 Ti
0.000 0.000 0.500 Ti
0.500 0.000 0.000 Ti
```

Output
* excess energy over the best structure of this formula in the dataset: 0 meV per atom

10.
The following is a PBE-GGA calculation of an optimized crystal structure of TiRuS4, from Alexandria via LeMat-Bulk.

Structure (POSCAR):
```
TiRuS4
1.0
5.809 0.000 0.199
0.000 5.762 0.000
0.111 0.000 5.939
Ti Ru S
2 2 8
Direct
0.500 0.000 0.500 Ti
0.000 0.500 0.500 Ti
0.000 0.000 0.000 Ru
0.500 0.500 0.000 Ru
0.876 0.618 0.107 S
0.624 0.118 0.893 S
0.369 0.368 0.361 S
0.131 0.868 0.639 S
0.124 0.382 0.893 S
0.376 0.882 0.107 S
0.631 0.632 0.639 S
0.869 0.132 0.361 S
```

11.
The following is a PBE-GGA calculation of an optimized crystal structure of Tl2RuS2, from Alexandria via LeMat-Bulk.

Structure (POSCAR):
```
Tl2RuS2
1.0
-3.635 -4.657 0.886
2.675 -2.937 -4.462
3.981 -2.359 3.939
Ru Tl S
2 4 4
Direct
0.000 0.000 0.000 Ru
0.500 0.500 0.000 Ru
0.197 0.697 0.500 Tl
0.697 0.803 0.500 Tl
0.803 0.303 0.500 Tl
0.303 0.197 0.500 Tl
0.368 0.868 0.000 S
0.868 0.632 0.000 S
0.632 0.132 0.000 S
0.132 0.368 0.000 S
```

Output
* excess energy over the best structure of this formula in the dataset: 0 meV per atom

12.
The following is a PBE-GGA calculation of an optimized crystal structure of TlRu2S, from Alexandria via LeMat-Bulk.

Structure (POSCAR):
```
TlRu2S
1.0
-2.245 -5.843 2.853
5.589 -0.191 4.006
0.214 -1.427 5.539
Ru Tl S
4 2 2
Direct
0.536 0.125 0.250 Ru
0.214 0.625 0.250 Ru
0.375 0.464 0.750 Ru
0.875 0.786 0.750 Ru
0.000 0.000 0.000 Tl
0.750 0.250 0.500 Tl
0.500 0.500 0.000 S
0.250 0.750 0.500 S
```

Output
* excess energy over the best structure of this formula in the dataset: 0 meV per atom

| no. | uncorrected formation energy (eV per formula unit) | mass density (Mg/m³) |
| --- | --- | --- |
| 1 | -1.8 | 6.09 |
| 2 | 2.7 | 7.74 |
| 3 | -2.4 | 7.97 |
| 4 | -16.0 | 7.49 |
| 5 | 1.2 | 7.94 |
| 6 | -1.5 | 6.13 |
| 7 | 1.9 | 4.45 |
| 8 | 7.5 | 6.63 |
| 9 | -1.1 | 5.39 |
| 10 | -3.9 | 4.63 |
| 11 | 0.0 | 8.79 |
| 12 | 1.3 | 10.20 |